# 1
Density functional theory data (PBE-GGA) for crystalline Y4BiIr at its relaxed geometry.

Formation energy in eV/atom: -0.648
Density in g/cm3: 7.4
DOS(E_F) in states/eV per cell: 12.32
Symmetry: No. 11
Volume in Å³ per cell: 339

Cell: 6.204 6.591 8.835 Å, 90.00 110.28 90.00°
Positions (direct):
Bi 0.798 0.750 0.954
Bi 0.202 0.250 0.046
Ir 0.267 0.250 0.570
Ir 0.733 0.750 0.430
Y 0.566 0.250 0.404
Y 0.007 0.500 0.702
Y 0.007 0.000 0.702
Y 0.434 0.750 0.596
Y 0.598 0.250 0.879
Y 0.402 0.750 0.121
Y 0.993 0.500 0.298
Y 0.993 0.000 0.298


# 2
Density functional theory data (PBE-GGA) for crystalline Y5BiIr2 at its relaxed geometry.

Formation energy in eV/atom: -0.756
Density in g/cm3: 8.2
DOS(E_F) in states/eV per cell: 14.50
Symmetry: No. 140
Volume in Å³ per cell: 420

Cell: 7.843 7.843 8.797 Å, 116.47 116.47 90.00°
Positions (direct):
Y 0.000 0.000 0.000
Y 0.288 0.788 0.264
Y 0.476 0.288 0.264
Y 0.976 0.476 0.264
Y 0.212 0.024 0.736
Y 0.712 0.212 0.736
Y 0.024 0.524 0.736
Y 0.788 0.976 0.264
Y 0.524 0.712 0.736
Y 0.500 0.500 0.000
Bi 0.250 0.250 0.500
Bi 0.750 0.750 0.500
Ir 0.860 0.640 0.000
Ir 0.140 0.360 0.000
Ir 0.360 0.860 0.000
Ir 0.640 0.140 0.000


# 3
Density functional theory data (PBE-GGA) for crystalline Y5Bi2Ir at its relaxed geometry.

Formation energy in eV/atom: -0.423
Density in g/cm3: 7.5
DOS(E_F) in states/eV per cell: 9.24
Symmetry: No. 42
Volume in Å³ per cell: 233

Cell: 7.385 7.385 6.748 Å, 123.25 123.25 89.85°
Last column: magnetic moment on the atom in μB.
Positions (direct):
Y 0.244 0.244 0.978  0.04
Y 0.734 0.244 0.978  0.05
Y 0.734 0.734 0.979  0.05
Y 0.756 0.756 0.512  0.14
Y 0.244 0.734 0.978  0.05
Bi 0.240 0.740 0.479  0.00
Bi 0.740 0.240 0.479  0.00
Ir 0.085 0.085 0.170  0.01


# 4
Density functional theory data (PBE-GGA) for crystalline Y5Bi2Ir at its relaxed geometry.

Formation energy in eV/atom: -0.785
Density in g/cm3: 7.7
DOS(E_F) in states/eV per cell: 24.60
Symmetry: No. 62
Volume in Å³ per cell: 909

Cell: 8.060 9.002 12.523 Å, 90.00 90.00 90.00°
Positions (direct):
Y 0.675 0.456 0.433
Y 0.161 0.250 0.793
Y 0.825 0.456 0.933
Y 0.054 0.250 0.501
Y 0.325 0.544 0.567
Y 0.376 0.750 0.306
Y 0.175 0.956 0.067
Y 0.175 0.544 0.067
Y 0.554 0.750 0.999
Y 0.446 0.250 0.001
Y 0.325 0.956 0.567
Y 0.124 0.750 0.806
Y 0.624 0.250 0.694
Y 0.339 0.250 0.293
Y 0.946 0.750 0.499
Y 0.876 0.250 0.194
Y 0.825 0.044 0.933
Y 0.661 0.750 0.707
Y 0.675 0.044 0.433
Y 0.839 0.750 0.207
Bi 0.433 0.509 0.828
Bi 0.433 0.991 0.828
Bi 0.067 0.509 0.328
Bi 0.067 0.991 0.328
Bi 0.933 0.491 0.672
Bi 0.933 0.009 0.672
Bi 0.567 0.009 0.172
Bi 0.567 0.491 0.172
Ir 0.574 0.750 0.490
Ir 0.426 0.250 0.510
Ir 0.926 0.750 0.990
Ir 0.074 0.250 0.010


# 5
Density functional theory data (PBE-GGA) for crystalline Y4BiIr at its relaxed geometry.

Formation energy in eV/atom: -0.636
Density in g/cm3: 7.3
DOS(E_F) in states/eV per cell: 11.40
Symmetry: No. 15
Volume in Å³ per cell: 344

Cell: 6.138 8.610 8.161 Å, 115.04 103.28 106.10°
Positions (direct):
Y 0.210 0.282 0.342
Y 0.632 0.060 0.342
Y 0.954 0.795 0.143
Y 0.790 0.718 0.658
Y 0.368 0.940 0.658
Y 0.689 0.349 0.143
Y 0.046 0.205 0.857
Y 0.311 0.651 0.857
Bi 0.623 0.373 0.747
Bi 0.377 0.627 0.253
Ir 0.250 0.000 0.000
Ir 0.750 0.000 0.000


# 6
Density functional theory data (PBE-GGA) for crystalline Y8Bi2Ir3 at its relaxed geometry.

Formation energy in eV/atom: -0.659
Density in g/cm3: 7.7
DOS(E_F) in states/eV per cell: 6.63
Symmetry: No. 10
Volume in Å³ per cell: 367

Cell: 4.881 9.824 9.102 Å, 122.65 90.00 90.00°
Positions (direct):
Ir 0.000 0.250 0.000
Ir 0.500 0.000 0.000
Ir 0.000 0.750 0.000
Y 0.000 0.606 0.212
Y 0.000 0.394 0.788
Y 0.000 0.889 0.779
Y 0.500 0.646 0.783
Y 0.500 0.863 0.217
Y 0.000 0.111 0.221
Y 0.500 0.354 0.217
Y 0.500 0.137 0.783
Bi 0.500 0.743 0.487
Bi 0.500 0.257 0.513


# 7
Density functional theory data (PBE-GGA) for crystalline YZr2BiIr at its relaxed geometry.

Formation energy in eV/atom: 1.662
Density in g/cm3: 8.0
DOS(E_F) in states/eV per cell: 5.82
Symmetry: No. 123
Volume in Å³ per cell: 139

Cell: 5.043 5.472 5.043 Å, 90.00 90.00 90.00°
Positions (direct):
Zr 0.500 0.000 0.000
Zr 0.000 0.000 0.500
Bi 0.000 0.500 0.000
Y 0.000 0.000 0.000
Ir 0.500 0.500 0.500


# 8
Density functional theory data (PBE-GGA) for crystalline Zn2BiIr2 at its relaxed geometry.

Formation energy in eV/atom: 0.135
Density in g/cm3: 13.3
DOS(E_F) in states/eV per cell: 2.29
Symmetry: No. 139
Volume in Å³ per cell: 90

Cell: 3.828 3.828 6.726 Å, 73.46 73.46 90.00°
Positions (direct):
Zn 0.750 0.250 0.500
Zn 0.250 0.750 0.500
Bi 0.000 0.000 0.000
Ir 0.608 0.608 0.783
Ir 0.392 0.392 0.217


# 9
Density functional theory data (PBE-GGA) for crystalline ZnBi2Ir2 at its relaxed geometry.

Formation energy in eV/atom: 0.270
Density in g/cm3: 14.0
DOS(E_F) in states/eV per cell: 7.14
Symmetry: No. 127
Volume in Å³ per cell: 206

Cell: 6.932 6.932 4.297 Å, 90.00 90.00 90.00°
Positions (direct):
Bi 0.333 0.167 0.500
Bi 0.833 0.333 0.500
Bi 0.167 0.667 0.500
Bi 0.667 0.833 0.500
Ir 0.142 0.358 0.000
Ir 0.642 0.142 0.000
Ir 0.858 0.642 0.000
Ir 0.358 0.858 0.000
Zn 0.000 0.000 0.000
Zn 0.500 0.500 0.000


# 10
Density functional theory data (PBE-GGA) for crystalline Zn2BiIr2 at its relaxed geometry.

Formation energy in eV/atom: 0.082
Density in g/cm3: 14.1
DOS(E_F) in states/eV per cell: 6.61
Symmetry: No. 127
Volume in Å³ per cell: 170

Cell: 7.513 7.513 3.020 Å, 90.00 90.00 90.00°
Positions (direct):
Zn 0.657 0.843 0.500
Zn 0.343 0.157 0.500
Zn 0.157 0.657 0.500
Zn 0.843 0.343 0.500
Ir 0.864 0.636 0.000
Ir 0.364 0.864 0.000
Ir 0.136 0.364 0.000
Ir 0.636 0.136 0.000
Bi 0.500 0.500 0.000
Bi 0.000 0.000 0.000


# 11
Density functional theory data (PBE-GGA) for crystalline ZnBiIr2 at its relaxed geometry.

Formation energy in eV/atom: 0.437
Density in g/cm3: 14.2
DOS(E_F) in states/eV per cell: 6.05
Symmetry: No. 122
Volume in Å³ per cell: 154

Cell: 4.161 4.161 9.375 Å, 77.18 77.18 90.00°
Positions (direct):
Ir 0.571 0.125 0.250
Ir 0.875 0.821 0.750
Ir 0.179 0.625 0.250
Ir 0.375 0.429 0.750
Zn 0.250 0.750 0.500
Zn 0.500 0.500 0.000
Bi 0.750 0.250 0.500
Bi 0.000 0.000 0.000


# 12
Density functional theory data (PBE-GGA) for crystalline ZnBi3Ir at its relaxed geometry.

Formation energy in eV/atom: 1.121
Density in g/cm3: 10.4
DOS(E_F) in states/eV per cell: 1.95
Symmetry: No. 221
Volume in Å³ per cell: 141

Cell: 5.200 5.200 5.200 Å, 90.00 90.00 90.00°
Positions (direct):
Bi 0.000 0.500 0.000
Bi 0.000 0.000 0.500
Bi 0.500 0.000 0.000
Zn 0.000 0.000 0.000
Ir 0.500 0.500 0.500


# 13
Density functional theory data (PBE-GGA) for crystalline Zn2BiIr at its relaxed geometry.

Formation energy in eV/atom: 0.232
Density in g/cm3: 11.0
DOS(E_F) in states/eV per cell: 3.98
Symmetry: No. 122
Volume in Å³ per cell: 160

Cell: 4.176 4.176 9.666 Å, 77.53 77.53 90.00°
Positions (direct):
Ir 0.250 0.750 0.500
Ir 0.500 0.500 0.000
Bi 0.000 0.000 0.000
Bi 0.750 0.250 0.500
Zn 0.542 0.125 0.250
Zn 0.208 0.625 0.250
Zn 0.875 0.792 0.750
Zn 0.375 0.458 0.750


# 14
Density functional theory data (PBE-GGA) for crystalline ZnBi3Ir at its relaxed geometry.

Formation energy in eV/atom: 0.594
Density in g/cm3: 9.3
DOS(E_F) in states/eV per cell: 1.44
Symmetry: No. 221
Volume in Å³ per cell: 158

Cell: 5.405 5.405 5.405 Å, 90.00 90.00 90.00°
Positions (direct):
Bi 0.000 0.000 0.500
Bi 0.000 0.500 0.000
Bi 0.500 0.000 0.000
Zn 0.500 0.500 0.500
Ir 0.000 0.000 0.000


# 15
Density functional theory data (PBE-GGA) for crystalline Zn2BiIr2 at its relaxed geometry.

Formation energy in eV/atom: 0.142
Density in g/cm3: 14.2
DOS(E_F) in states/eV per cell: 6.15
Symmetry: No. 127
Volume in Å³ per cell: 170

Cell: 7.544 7.544 2.984 Å, 90.00 90.00 90.00°
Positions (direct):
Ir 0.672 0.828 0.500
Ir 0.172 0.672 0.500
Ir 0.828 0.328 0.500
Ir 0.328 0.172 0.500
Bi 0.000 0.000 0.000
Bi 0.500 0.500 0.000
Zn 0.379 0.879 0.000
Zn 0.879 0.621 0.000
Zn 0.121 0.379 0.000
Zn 0.621 0.121 0.000


# 16
Density functional theory data (PBE-GGA) for crystalline ZnBiIr2 at its relaxed geometry.

Formation energy in eV/atom: 0.302
Density in g/cm3: 15.9
DOS(E_F) in states/eV per cell: 3.93
Symmetry: No. 225
Volume in Å³ per cell: 69

Cell: 4.600 4.600 4.600 Å, 60.00 60.00 60.00°
Last column: magnetic moment on the atom in μB.
Positions (direct):
Bi 0.500 0.500 0.500  0.02
Zn 0.000 0.000 0.000  0.00
Ir 0.250 0.250 0.250  0.33
Ir 0.750 0.750 0.750  0.33


# 17
Density functional theory data (PBE-GGA) for crystalline Zr2ZnBiIr at its relaxed geometry.

Formation energy in eV/atom: 0.945
Density in g/cm3: 9.0
DOS(E_F) in states/eV per cell: 6.72
Symmetry: No. 123
Volume in Å³ per cell: 120

Cell: 4.946 4.892 4.946 Å, 90.00 90.00 90.00°
Positions (direct):
Zr 0.000 0.000 0.500
Zr 0.500 0.000 0.000
Bi 0.000 0.500 0.000
Zn 0.000 0.000 0.000
Ir 0.500 0.500 0.500


# 18
Density functional theory data (PBE-GGA) for crystalline ZrBiIr2 at its relaxed geometry.

Formation energy in eV/atom: 0.350
Density in g/cm3: 10.3
DOS(E_F) in states/eV per cell: 5.11
Symmetry: No. 122
Volume in Å³ per cell: 220

Cell: 5.882 5.882 7.608 Å, 67.26 67.26 90.00°
Positions (direct):
Zr 0.500 0.500 0.000
Zr 0.250 0.750 0.500
Ir 0.375 0.384 0.750
Ir 0.134 0.625 0.250
Ir 0.616 0.125 0.250
Ir 0.875 0.866 0.750
Bi 0.000 0.000 0.000
Bi 0.750 0.250 0.500


# 19
Density functional theory data (PBE-GGA) for crystalline Zr2BiIr at its relaxed geometry.

Formation energy in eV/atom: -0.218
Density in g/cm3: 10.4
DOS(E_F) in states/eV per cell: 9.42
Symmetry: No. 122
Volume in Å³ per cell: 187

Cell: 7.755 7.755 6.302 Å, 52.02 52.02 90.00°
Positions (direct):
Ir 0.500 0.500 0.000
Ir 0.250 0.750 0.500
Bi 0.000 0.000 0.000
Bi 0.750 0.250 0.500
Zr 0.875 0.828 0.750
Zr 0.172 0.625 0.250
Zr 0.578 0.125 0.250
Zr 0.375 0.422 0.750


# 20
Density functional theory data (PBE-GGA) for crystalline ZrBi2Ir at its relaxed geometry.

Formation energy in eV/atom: 0.231
Density in g/cm3: 11.7
DOS(E_F) in states/eV per cell: 6.96
Symmetry: No. 122
Volume in Å³ per cell: 199

Cell: 8.160 8.160 6.500 Å, 51.12 51.12 90.00°
Positions (direct):
Ir 0.000 0.000 0.000
Ir 0.750 0.250 0.500
Zr 0.250 0.750 0.500
Zr 0.500 0.500 0.000
Bi 0.875 0.925 0.750
Bi 0.675 0.125 0.250
Bi 0.075 0.625 0.250
Bi 0.375 0.325 0.750


# 21
Density functional theory data (PBE-GGA) for crystalline Zr12Bi6Ir at its relaxed geometry.

Formation energy in eV/atom: -0.056
Density in g/cm3: 8.4
DOS(E_F) in states/eV per cell: 22.24
Symmetry: No. 148
Volume in Å³ per cell: 501

Cell: 8.086 8.086 8.086 Å, 100.04 100.04 100.04°
Positions (direct):
Zr 0.074 0.027 0.329
Zr 0.483 0.785 0.591
Zr 0.785 0.591 0.483
Zr 0.671 0.926 0.973
Zr 0.926 0.973 0.671
Zr 0.329 0.074 0.027
Zr 0.517 0.215 0.409
Zr 0.591 0.483 0.785
Zr 0.409 0.517 0.215
Zr 0.973 0.671 0.926
Zr 0.215 0.409 0.517
Zr 0.027 0.329 0.074
Bi 0.326 0.669 0.890
Bi 0.331 0.110 0.674
Bi 0.669 0.890 0.326
Bi 0.890 0.326 0.669
Bi 0.110 0.674 0.331
Bi 0.674 0.331 0.110
Ir 0.000 0.000 0.000


# 22
Density functional theory data (PBE-GGA) for crystalline ZrBi2Ir at its relaxed geometry.

Formation energy in eV/atom: 0.193
Density in g/cm3: 13.0
DOS(E_F) in states/eV per cell: 5.65
Symmetry: No. 225
Volume in Å³ per cell: 89

Cell: 5.018 5.018 5.018 Å, 60.00 60.00 60.00°
Positions (direct):
Ir 0.500 0.500 0.500
Zr 0.000 0.000 0.000
Bi 0.750 0.750 0.750
Bi 0.250 0.250 0.250


# 23
Density functional theory data (PBE-GGA) for crystalline ZrBi2Ir at its relaxed geometry.

Formation energy in eV/atom: 0.379
Density in g/cm3: 11.5
DOS(E_F) in states/eV per cell: 3.77
Symmetry: No. 166
Volume in Å³ per cell: 101

Cell: 3.415 3.415 10.187 Å, 80.35 80.35 60.00°
Positions (direct):
Bi 0.900 0.900 0.301
Bi 0.100 0.100 0.699
Zr 0.000 0.000 0.000
Ir 0.500 0.500 0.500